1.
NaPaCdBr6 (PBE, relaxed); formation energy (no corrections) = -1.247 eV/atom
1.0
-4.561 1.018 5.803
5.715 -4.750 0.542
9.821 12.446 5.535
Na Cd Br Pa
2 2 12 2
Cartesian
6.230 8.430 8.200 Na
4.745 0.284 3.679 Na
4.910 6.223 2.767 Cd
0.000 0.000 0.000 Cd
-0.942 1.293 6.674 Br
2.112 -0.378 5.015 Br
7.331 5.671 7.624 Br
8.427 6.416 4.003 Br
10.416 3.897 6.140 Br
2.547 2.298 7.877 Br
-0.003 2.169 3.038 Br
11.916 7.421 5.206 Br
10.977 6.545 8.842 Br
0.558 4.817 5.740 Br
8.863 9.092 6.865 Br
3.643 3.043 4.256 Br
1.319 2.207 5.433 Pa
9.655 6.507 6.447 Pa

2.
Pm3Pr3Dy2 (PBE, relaxed); ΔH_f (0 K) = 74 meV per atom
1.0
5.845 0.000 0.000
0.000 6.083 -0.244
-2.922 -2.750 7.897
Dy Pr Pm
2 3 3
Cartesian
2.922 2.775 3.786 Dy
0.000 0.558 3.867 Dy
2.922 -0.260 2.110 Pr
2.922 3.042 -0.122 Pr
0.000 3.594 5.544 Pr
0.000 3.452 1.952 Pm
2.922 -0.119 5.701 Pm
0.000 0.000 0.000 Pm

3.
K2MgCr (PBE, relaxed); ΔH_f (0 K) = 683 meV per atom
1.0
5.874 0.000 0.000
2.937 5.087 0.000
2.937 1.696 4.796
K Mg Cr
2 1 1
Cartesian
2.937 1.696 1.199 K
0.000 0.000 0.000 K
8.811 5.087 3.597 Mg
5.874 3.391 2.398 Cr

4.
ScBe2Ag2 (PBE, relaxed); ΔH_f (0 K) = 111 meV per atom
1.0
3.606 0.000 0.000
0.000 3.606 0.000
1.803 1.803 6.076
Be Ag Sc
2 2 1
Cartesian
1.803 3.606 3.038 Be
3.606 1.803 3.038 Be
3.606 3.606 4.659 Ag
1.803 1.803 1.418 Ag
0.000 0.000 0.000 Sc

For each record above, in turn, the calculated E values are -3.67; -4.65; -2.67; -3.79 eV/atom.
For each record above, in turn, the calculated ρ values are 3.479; 7.094; 1.790; 5.856 g cm⁻³.